CuHg3N | PBE-GGA | relaxed

Values from the calculation:
Symmetry ... Pm-3m
Crystal system ... cubic
Total DFT energy (no corrections) ... -1.653 eV/atom

Unit cell a=4.719 b=4.719 c=4.719 alpha=90.00 beta=90.00 gamma=90.00
Fractional coordinates of all 5 atoms:
Hg (0.500, 0.000, 0.000)
Hg (0.000, 0.500, 0.000)
Hg (0.000, 0.000, 0.500)
Cu (0.500, 0.500, 0.500)
N (0.000, 0.000, 0.000)

---

Rb3Ga4Pb2 | PBE-GGA | relaxed

Values from the calculation:
Energy of formation ... -24 meV per atom
Symmetry ... P-1
Crystal system ... triclinic
Total DFT energy (no corrections) ... -2.516 eV/atom

Unit cell a=5.124 b=7.223 c=9.958 alpha=70.27 beta=75.08 gamma=69.34
Fractional coordinates of all 9 atoms:
Ga (0.251, 0.425, 0.072)
Ga (0.066, 0.497, 0.361)
Ga (0.749, 0.575, 0.928)
Ga (0.934, 0.503, 0.639)
Pb (0.301, 0.649, 0.754)
Pb (0.699, 0.351, 0.246)
Rb (0.000, 0.000, 0.000)
Rb (0.622, 0.119, 0.641)
Rb (0.378, 0.881, 0.359)

---

Sm4TlHgAu2 | PBE-GGA | relaxed

Values from the calculation:
Energy of formation ... -575 meV per atom
Symmetry ... R-3m
Crystal system ... trigonal
Total DFT energy (no corrections) ... -4.087 eV/atom

Unit cell a=5.313 b=5.313 c=9.187 alpha=73.19 beta=73.19 gamma=60.00
Fractional coordinates of all 8 atoms:
Au (0.748, 0.748, 0.755)
Au (0.252, 0.252, 0.245)
Sm (0.873, 0.873, 0.381)
Sm (0.623, 0.623, 0.131)
Sm (0.377, 0.377, 0.869)
Sm (0.127, 0.127, 0.619)
Tl (0.000, 0.000, 0.000)
Hg (0.500, 0.500, 0.500)

---

HfSc2Pa | PBE-GGA | relaxed

Values from the calculation:
Energy of formation ... 56 meV per atom
Symmetry ... R3m
Crystal system ... trigonal
Total DFT energy (no corrections) ... -7.973 eV/atom

Unit cell a=3.182 b=3.182 c=10.895 alpha=81.60 beta=81.60 gamma=60.00
Fractional coordinates of all 4 atoms:
Hf (0.666, 0.666, 0.001)
Pa (0.500, 0.500, 0.499)
Sc (0.081, 0.081, 0.758)
Sc (0.253, 0.253, 0.242)

---

Ga3MoOs | PBE-GGA | relaxed

Values from the calculation:
Energy of formation ... 797 meV per atom
Symmetry ... Pm-3m
Crystal system ... cubic
Total DFT energy (no corrections) ... -5.431 eV/atom

Unit cell a=4.784 b=4.784 c=4.784 alpha=90.00 beta=90.00 gamma=90.00
Fractional coordinates of all 5 atoms:
Mo (0.500, 0.500, 0.500)
Os (0.000, 0.000, 0.000)
Ga (0.500, 0.000, 0.000)
Ga (0.000, 0.500, 0.000)
Ga (0.000, 0.000, 0.500)

---

La2NpCu2S6 | PBE-GGA | relaxed

Values from the calculation:
Symmetry ... R-3m
Crystal system ... trigonal
Total DFT energy (no corrections) ... -6.181 eV/atom

Unit cell a=7.076 b=7.076 c=7.744 alpha=62.81 beta=62.81 gamma=60.00
Fractional coordinates of all 11 atoms:
Cu (0.430, 0.430, 0.710)
Cu (0.570, 0.570, 0.290)
La (0.801, 0.801, 0.597)
La (0.199, 0.199, 0.403)
S (0.249, 0.249, 0.718)
S (0.217, 0.751, 0.282)
S (0.249, 0.783, 0.718)
S (0.751, 0.751, 0.282)
S (0.751, 0.217, 0.282)
S (0.783, 0.249, 0.718)
Np (0.000, 0.000, 0.000)

---

K2AcTiSe4 | PBE-GGA | relaxed

Values from the calculation:
Symmetry ... P2/m
Crystal system ... monoclinic
Total DFT energy (no corrections) ... -4.920 eV/atom

Unit cell a=4.284 b=7.342 c=8.047 alpha=107.72 beta=90.00 gamma=90.00
Fractional coordinates of all 8 atoms:
Ti (0.000, 0.000, 0.000)
Se (0.500, 0.800, 0.808)
Se (0.500, 0.200, 0.192)
Se (0.000, 0.775, 0.209)
Se (0.000, 0.225, 0.791)
Ac (0.500, 0.500, 0.000)
K (0.500, 0.000, 0.500)
K (0.000, 0.500, 0.500)

---

Tb5NdErTh2 | PBE-GGA | relaxed

Values from the calculation:
Energy of formation ... 335 meV per atom
Symmetry ... I4/mcm
Crystal system ... tetragonal
Total DFT energy (no corrections) ... -4.923 eV/atom

Unit cell a=8.878 b=8.878 c=9.904 alpha=116.63 beta=116.63 gamma=90.00
Fractional coordinates of all 18 atoms:
Tb (0.154, 0.071, 0.725)
Tb (0.071, 0.571, 0.725)
Tb (0.846, 0.929, 0.275)
Tb (0.000, 0.000, 0.000)
Tb (0.654, 0.154, 0.725)
Tb (0.429, 0.346, 0.275)
Tb (0.346, 0.846, 0.275)
Tb (0.929, 0.429, 0.275)
Tb (0.571, 0.654, 0.725)
Tb (0.500, 0.500, 0.000)
Er (0.750, 0.250, 0.500)
Er (0.250, 0.750, 0.500)
Th (0.119, 0.381, 0.000)
Th (0.619, 0.119, 0.000)
Th (0.881, 0.619, 0.000)
Th (0.381, 0.881, 0.000)
Nd (0.250, 0.250, 0.500)
Nd (0.750, 0.750, 0.500)

---

Pm3S3N | PBE-GGA | relaxed

Values from the calculation:
Symmetry ... Pnma
Crystal system ... orthorhombic
Total DFT energy (no corrections) ... -6.932 eV/atom

Unit cell a=3.986 b=12.258 c=13.115 alpha=90.00 beta=90.00 gamma=90.00
Fractional coordinates of all 28 atoms:
S (0.250, 0.773, 0.306)
S (0.250, 0.865, 0.007)
S (0.750, 0.635, 0.507)
S (0.750, 0.412, 0.894)
S (0.750, 0.227, 0.694)
S (0.250, 0.273, 0.194)
S (0.750, 0.135, 0.993)
S (0.250, 0.088, 0.394)
S (0.750, 0.727, 0.806)
S (0.250, 0.588, 0.106)
S (0.250, 0.365, 0.493)
S (0.750, 0.912, 0.606)
N (0.750, 0.459, 0.298)
N (0.250, 0.041, 0.798)
N (0.250, 0.541, 0.702)
N (0.750, 0.959, 0.202)
Pm (0.250, 0.075, 0.630)
Pm (0.750, 0.955, 0.853)
Pm (0.250, 0.217, 0.864)
Pm (0.250, 0.717, 0.636)
Pm (0.750, 0.783, 0.136)
Pm (0.250, 0.045, 0.147)
Pm (0.750, 0.925, 0.370)
Pm (0.250, 0.545, 0.353)
Pm (0.250, 0.575, 0.870)
Pm (0.750, 0.425, 0.130)
Pm (0.750, 0.455, 0.647)
Pm (0.750, 0.283, 0.364)

---

LiCr4Pt | PBE-GGA | relaxed

Values from the calculation:
Energy of formation ... 143 meV per atom
Symmetry ... F-43m
Crystal system ... cubic
Total DFT energy (no corrections) ... -7.598 eV/atom

Unit cell a=4.753 b=4.753 c=4.753 alpha=60.00 beta=60.00 gamma=60.00
Fractional coordinates of all 6 atoms:
Pt (0.000, 0.000, 0.000)
Cr (0.622, 0.622, 0.135)
Cr (0.622, 0.135, 0.622)
Cr (0.135, 0.622, 0.622)
Cr (0.622, 0.622, 0.622)
Li (0.250, 0.250, 0.250)

---

Na2Ca2H | PBE-GGA | relaxed

Values from the calculation:
Symmetry ... P4/mbm
Crystal system ... tetragonal
Total DFT energy (no corrections) ... -1.966 eV/atom

Unit cell a=6.863 b=6.863 c=6.771 alpha=90.00 beta=90.00 gamma=90.00
Fractional coordinates of all 10 atoms:
Na (0.834, 0.334, 0.500)
Na (0.166, 0.666, 0.500)
Na (0.334, 0.166, 0.500)
Na (0.666, 0.834, 0.500)
Ca (0.692, 0.192, 0.000)
Ca (0.308, 0.808, 0.000)
Ca (0.808, 0.692, 0.000)
Ca (0.192, 0.308, 0.000)
H (0.500, 0.500, 0.000)
H (0.000, 0.000, 0.000)

---

Sr2MgZn4Rh3 | PBE-GGA | relaxed

Values from the calculation:
Energy of formation ... -340 meV per atom
Symmetry ... P-4m2
Crystal system ... tetragonal
Total DFT energy (no corrections) ... -3.551 eV/atom

Unit cell a=4.200 b=4.200 c=11.382 alpha=90.00 beta=90.00 gamma=90.00
Fractional coordinates of all 10 atoms:
Sr (0.000, 0.500, 0.770)
Sr (0.500, 0.000, 0.230)
Rh (0.000, 0.500, 0.130)
Rh (0.000, 0.000, 0.500)
Rh (0.500, 0.000, 0.870)
Zn (0.500, 0.000, 0.646)
Zn (0.000, 0.500, 0.354)
Zn (0.500, 0.500, 0.000)
Zn (0.000, 0.000, 0.000)
Mg (0.500, 0.500, 0.500)